ErCo9B4 | GGA-PBE | optimized geometry

```
28
Lattice="-3.638 3.638 5.369 3.638 -3.638 5.369 3.638 3.638 -5.369" Properties=species:S:1:pos:R:3 pbc="T T T"
Er 0.000 0.000 2.666
Er 0.000 0.000 8.072
Co 3.638 0.000 0.000
Co 4.749 -0.949 1.918
Co 5.856 0.701 0.000
Co 2.690 -1.111 3.452
Co 0.701 1.421 0.000
Co 2.962 2.238 0.000
Co 2.528 0.949 1.918
Co 1.401 -0.677 5.369
Co 4.587 1.111 3.452
Co 0.000 3.638 0.000
Co -0.949 2.528 1.918
Co 2.238 4.315 0.000
Co 1.111 2.690 3.452
Co 0.677 1.401 5.369
Co 2.938 2.217 5.369
Co 0.949 4.749 1.918
Co -2.217 2.938 5.369
Co -1.111 4.587 3.452
B 4.597 1.279 -1.452
B 1.279 2.680 -1.452
B 4.597 1.279 1.452
B 2.359 0.959 3.917
B 1.279 2.680 1.452
B -0.959 2.359 3.917
B 2.359 0.959 6.822
B -0.959 2.359 6.822
```

Properties
- density (g/cm³) = 8.655
- symmetry = I4/m (87)
- calculated formation energy (eV per atom) = -0.210